Record 1
Compound: CaCdTe4
Source: Alexandria via LeMat-Bulk
Functional: GGA-PBE
Structure: optimized geometry

As for the electronic total energy: -2.701 eV/atom. As for the crystal system: cubic. The density of states at the Fermi level is 0.131 states/eV/atom. For the size of the total moment, the calculation gives 0.00 μB/atom. The formation energy without anion corrections is -0.120 eV/atom.

It has space group F-43m (No. 216), with a = 9.155 Å, b = 9.155 Å, c = 9.155 Å, α = 90.00°, β = 90.00° and γ = 90.00°. Symmetry generates all atoms from Ca at (0.000, 0.000, 0.000), Cd at (0.250, 0.250, 0.750) and Te at (0.125, 0.125, 0.375).

***

Record 2
Compound: GaC
Source: Alexandria via LeMat-Bulk
Functional: GGA-PBE
Structure: optimized geometry

As for the electronic total energy: -4.889 eV/atom. As for the crystal system: cubic. As for the formation energy: 1.236 eV/atom. The density of states at the Fermi level is 0.551 states/eV/atom. For the size of the total moment, the calculation gives 0.15 μB/atom. The calculation puts the energy above the most stable polymorph in this dataset at 997 meV/atom.

It has space group Fm-3m (No. 225), with a = 4.401 Å, b = 4.401 Å, c = 4.401 Å, α = 90.00°, β = 90.00° and γ = 90.00°. Symmetry generates all atoms from Ga at (0.000, 0.000, 0.000) and C at (0.000, 0.000, 0.500).

***

Record 3
Compound: La2CdCl
Source: Alexandria via LeMat-Bulk
Functional: GGA-PBE
Structure: optimized geometry

As for the electronic total energy: -3.715 eV/atom. As for the crystal system: orthorhombic. The density of states at the Fermi level is 1.515 states/eV/atom. For the size of the total moment, the calculation gives 0.00 μB/atom. The formation energy without anion corrections is -0.561 eV/atom. The calculation puts the energy above the most stable polymorph in this dataset at 310 meV/atom.

It has space group Pmmm (No. 47), with a = 3.922 Å, b = 4.902 Å, c = 6.444 Å, α = 90.00°, β = 90.00° and γ = 90.00°. Symmetry generates all atoms from La at (0.000, 0.000, 0.000), La at (0.500, 0.000, 0.500), Cd at (0.000, 0.500, 0.500) and Cl at (0.500, 0.500, 0.000).

***

Record 4
Compound: La2TaW
Source: Alexandria via LeMat-Bulk
Functional: GGA-PBE
Structure: optimized geometry

As for the electronic total energy: -7.970 eV/atom. As for the crystal system: cubic. As for the formation energy: 0.695 eV/atom. The density of states at the Fermi level is 1.831 states/eV/atom. For the size of the total moment, the calculation gives 0.00 μB/atom. The calculation puts the energy above the most stable polymorph in this dataset at 383 meV/atom.

It has space group F-43m (No. 216), with a = 7.164 Å, b = 7.164 Å, c = 7.164 Å, α = 90.00°, β = 90.00° and γ = 90.00°. Symmetry generates all atoms from La at (0.000, 0.000, 0.000), La at (0.250, 0.250, 0.250), Ta at (0.000, 0.000, 0.500) and W at (0.250, 0.250, 0.750).

***

Record 5
Compound: Ca3LaIr
Source: Alexandria via LeMat-Bulk
Functional: GGA-PBE
Structure: optimized geometry

As for the electronic total energy: -2.340 eV/atom. As for the crystal system: cubic. As for the formation energy: 1.619 eV/atom. The density of states at the Fermi level is 1.651 states/eV/atom. For the size of the total moment, the calculation gives 0.00 μB/atom. The calculation puts the energy above the most stable polymorph in this dataset at 1929 meV/atom.

It has space group Pm-3m (No. 221), with a = 5.433 Å, b = 5.433 Å, c = 5.433 Å, α = 90.00°, β = 90.00° and γ = 90.00°. Symmetry generates all atoms from Ca at (0.000, 0.000, 0.500), La at (0.000, 0.000, 0.000) and Ir at (0.500, 0.500, 0.500).

***

Record 6
Compound: CsTc2SbH
Source: Alexandria via LeMat-Bulk
Functional: GGA-PBE
Structure: optimized geometry

As for the electronic total energy: -3.672 eV/atom. As for the crystal system: tetragonal. The density of states at the Fermi level is 1.146 states/eV/atom. For the size of the total moment, the calculation gives 0.38 μB/atom.

It has space group P4/mmm (No. 123), with a = 5.126 Å, b = 5.126 Å, c = 3.607 Å, α = 90.00°, β = 90.00° and γ = 90.00°. Symmetry generates all atoms from Cs at (0.000, 0.000, 0.000), Tc at (0.000, 0.500, 0.000), Sb at (0.500, 0.500, 0.500) and H at (0.000, 0.000, 0.500).

***

Record 7
Compound: Hf2ScZnN
Source: Alexandria via LeMat-Bulk
Functional: GGA-PBE
Structure: optimized geometry

As for the electronic total energy: -8.014 eV/atom. As for the crystal system: tetragonal. The density of states at the Fermi level is 0.488 states/eV/atom. For the size of the total moment, the calculation gives 0.00 μB/atom. The formation energy without anion corrections is -0.846 eV/atom.

It has space group P4/mmm (No. 123), with a = 4.390 Å, b = 4.390 Å, c = 4.381 Å, α = 90.00°, β = 90.00° and γ = 90.00°. Symmetry generates all atoms from Hf at (0.000, 0.500, 0.000), Sc at (0.000, 0.000, 0.500), Zn at (0.500, 0.500, 0.500) and N at (0.000, 0.000, 0.000).

***

Record 8
Compound: GeTeF2
Source: Alexandria via LeMat-Bulk
Functional: GGA-PBE
Structure: optimized geometry

As for the electronic total energy: -3.514 eV/atom. As for the crystal system: cubic. The density of states at the Fermi level is 0.561 states/eV/atom. For the size of the total moment, the calculation gives 0.00 μB/atom. The formation energy without anion corrections is -0.638 eV/atom. The calculation puts the energy above the most stable polymorph in this dataset at 361 meV/atom.

It has space group Fm-3m (No. 225), with a = 6.400 Å, b = 6.400 Å, c = 6.400 Å, α = 90.00°, β = 90.00° and γ = 90.00°. Symmetry generates all atoms from Ge at (0.000, 0.000, 0.000), Te at (0.000, 0.000, 0.500) and F at (0.250, 0.250, 0.250).